No. 1
## TmPuZr2 (PBE-GGA)

Data for a geometry-optimized TmPuZr2 structure.

abc: 3.313 3.313 10.798
angles: 81.19 81.19 60.00
Site moments in Bohr magnetons follow the coordinates.
Sites, in units of the cell vectors:
Tm  0.667  0.667  0.999  -0.01
Pu  0.500  0.500  0.500  5.25
Zr  0.085  0.085  0.744  -0.09
Zr  0.248  0.248  0.257  -0.14

Summary:
D(E_F): 2.289 states/eV/atom
Offset from the most stable computed form: 0.0 meV/atom
Crystal system: trigonal

=====

No. 2
## TmPuZr (PBE-GGA)

Data for a geometry-optimized TmPuZr structure.

abc: 3.225 5.246 5.246
angles: 120.00 90.00 90.00
Site moments in Bohr magnetons follow the coordinates.
Sites, in units of the cell vectors:
Tm  0.667  0.667  0.333  -0.03
Zr  0.167  0.000  0.000  -0.24
Pu  0.166  0.333  0.667  5.24

Summary:
D(E_F): 3.239 states/eV/atom
Offset from the most stable computed form: 27.6 meV/atom
Crystal system: hexagonal

=====

No. 3
## PuU (PBE-GGA)

Data for a geometry-optimized PuU structure.

abc: 3.691 3.690 5.733
angles: 90.00 108.74 90.00
Site moments in Bohr magnetons follow the coordinates.
Sites, in units of the cell vectors:
U  0.881  0.250  0.762  -0.14
U  0.119  0.750  0.238  -0.14
Pu  0.646  0.250  0.292  1.70
Pu  0.354  0.750  0.708  1.70

Summary:
Offset from the most stable computed form: 198.5 meV/atom
Crystal system: orthorhombic

=====

No. 4
## Pu6U (PBE-GGA)

Data for a geometry-optimized Pu6U structure.

abc: 5.783 5.783 5.783
angles: 109.47 109.47 109.47
Site moments in Bohr magnetons follow the coordinates.
Sites, in units of the cell vectors:
Pu  0.250  0.750  0.500  -0.09
Pu  0.500  0.750  0.250  -0.09
Pu  0.250  0.500  0.750  -0.09
Pu  0.750  0.250  0.500  -0.09
Pu  0.500  0.250  0.750  -0.09
Pu  0.750  0.500  0.250  -0.09
U  0.000  0.000  0.000  2.50

Summary:
D(E_F): 3.107 states/eV/atom
Crystal system: cubic

=====

Number 1: formation energy 0.132 eV per atom, total energy -8.84 eV per atom. Number 2: formation energy 0.146 eV per atom, total energy -8.97 eV per atom. Number 3: formation energy 0.254 eV per atom, total energy -12.56 eV per atom. Number 4: formation energy 0.389 eV per atom, total energy -13.51 eV per atom.